# GGA-PBE Hf2Ti2Fe, optimized geometry
# Energy relative to the lowest polymorph listed for this composition in meV per atom: 0
data_Hf2Ti2Fe
_chemical_formula_sum 'Hf4 Ti4 Fe2'
_space_group_name_H-M_alt 'P 4/m b m'
_space_group_IT_number 127
_space_group_name_Hall '-P 4 2ab'
_cell_length_a 6.159
_cell_length_b 6.159
_cell_length_c 4.755
_cell_angle_alpha 90.00
_cell_angle_beta 90.00
_cell_angle_gamma 90.00
loop_
_atom_site_label
_atom_site_fract_x
_atom_site_fract_y
_atom_site_fract_z
Hf1 0.165 0.335 0.000
Ti1 0.155 0.655 0.500
Fe1 0.000 0.000 0.500